1.
Compound: KNi4Sb
Source: the Alexandria database
Functional: PBE
Structure: relaxed

Calculated values
As for the density: 7.2 Mg/m³. For the energy relative to the elements, uncorrected, the calculation gives 319 meV/atom.

a = 7.159 Å, b = 7.159 Å, c = 7.159 Å
α = 90.00°, β = 90.00°, γ = 90.00°
Space group F-43m (No. 216)
Symmetry-distinct sites (fractional):
K 0.000 0.000 0.000 (multiplicity 4)
Ni 0.124 0.124 0.624 (multiplicity 16)
Sb 0.250 0.250 0.250 (multiplicity 4)

2.
Compound: KNi3Sb
Source: the Alexandria database
Functional: PBE
Structure: relaxed

Calculated values
As for the density: 5.9 Mg/m³. For the energy relative to the elements, uncorrected, the calculation gives 1743 meV/atom.

a = 4.566 Å, b = 4.566 Å, c = 4.566 Å
α = 90.00°, β = 90.00°, γ = 90.00°
Space group Pm-3m (No. 221)
Symmetry-distinct sites (fractional):
K 0.000 0.000 0.000 (multiplicity 1)
Ni 0.000 0.000 0.500 (multiplicity 3)
Sb 0.500 0.500 0.500 (multiplicity 1)

3.
Compound: K2NiSb
Source: the Alexandria database
Functional: PBE
Structure: relaxed

Calculated values
As for the density: 4.1 Mg/m³. For the energy relative to the elements, uncorrected, the calculation gives 292 meV/atom.

a = 4.424 Å, b = 4.424 Å, c = 5.409 Å
α = 90.00°, β = 90.00°, γ = 90.00°
Space group P4/mmm (No. 123)
Symmetry-distinct sites (fractional):
K 0.000 0.500 0.000 (multiplicity 2)
Ni 0.000 0.000 0.500 (multiplicity 1)
Sb 0.500 0.500 0.500 (multiplicity 1)

4.
Compound: K2NiSb
Source: the Alexandria database
Functional: PBE
Structure: relaxed

Calculated values
As for the density: 3.7 Mg/m³. For the energy relative to the elements, uncorrected, the calculation gives 522 meV/atom.

a = 3.5221 Å, b = 3.5221 Å, c = 32.5994 Å
α = 90.00°, β = 90.00°, γ = 120.00°
Space group R-3m (No. 166, hexagonal axes)
Symmetry-distinct sites (fractional):
K 0.0000 0.0000 0.2433 (multiplicity 6)
Ni 0.0000 0.0000 0.5000 (multiplicity 3)
Sb 0.0000 0.0000 0.0000 (multiplicity 3)

5.
Compound: KNi3Sb
Source: the Alexandria database
Functional: PBE
Structure: relaxed

Calculated values
As for the density: 4.9 Mg/m³. For the energy relative to the elements, uncorrected, the calculation gives 553 meV/atom.

a = 4.848 Å, b = 4.848 Å, c = 4.848 Å
α = 90.00°, β = 90.00°, γ = 90.00°
Space group Pm-3m (No. 221)
Symmetry-distinct sites (fractional):
K 0.000 0.000 0.000 (multiplicity 1)
Ni 0.000 0.500 0.500 (multiplicity 3)
Sb 0.500 0.500 0.500 (multiplicity 1)

6.
Compound: K4NiSb
Source: the Alexandria database
Functional: PBE
Structure: relaxed

Calculated values
As for the density: 2.5 Mg/m³. For the energy relative to the elements, uncorrected, the calculation gives 599 meV/atom.

a = 9.578 Å, b = 9.578 Å, c = 9.578 Å
α = 90.00°, β = 90.00°, γ = 90.00°
Space group F-43m (No. 216)
Symmetry-distinct sites (fractional):
K 0.125 0.125 0.125 (multiplicity 16)
Ni 0.250 0.250 0.750 (multiplicity 4)
Sb 0.000 0.000 0.500 (multiplicity 4)